1.
Material: PrNpP
Method: DFT, PBE-GGA
State: optimized geometry

Results
- V (Å³/f.u.) = 76.2
- energy of formation from the pure elements (eV per atom) = -0.2300
- spin magnetization (Bohr magnetons per cell) = 11.9

abc: 6.9106 6.9106 11.0591
angles: 90.00 90.00 120.00
Each line ends with the local moment (μB).
Sites, in units of the cell vectors:
Pr (0.0000, 0.5000, 0.3333)  0.24
P (0.0000, 0.5000, 0.6019)  -0.05
P (0.5000, 0.0000, 0.9353)  -0.05
P (0.5000, 0.5000, 0.7314)  -0.05
Np (0.1916, 0.5958, 0.8333)  1.77
Np (0.5958, 0.1916, 0.1667)  1.77
Pr (0.0000, 0.0000, 0.5000)  -0.04
Np (0.8084, 0.4042, 0.8333)  1.77
Pr (0.0000, 0.0000, 0.1667)  -0.04
Pr (0.5000, 0.0000, 0.6667)  0.24
Pr (0.0000, 0.0000, 0.8333)  -0.04
Np (0.4042, 0.8084, 0.1667)  1.77
Pr (0.5000, 0.5000, 0.0000)  0.24
P (0.5000, 0.5000, 0.2686)  -0.05
P (0.5000, 0.0000, 0.3981)  -0.05
P (0.0000, 0.5000, 0.0647)  -0.05
Np (0.4042, 0.5958, 0.5000)  1.77
Np (0.5958, 0.4042, 0.5000)  1.77

2.
Material: Pr2NpP3
Method: DFT, PBE-GGA
State: optimized geometry

Results
- V (Å³/f.u.) = 148.8
- energy of formation from the pure elements (eV per atom) = -1.2661
- spin magnetization (Bohr magnetons per cell) = 3.7

abc: 4.1283 4.1283 9.2046
angles: 102.96 102.96 90.01
Each line ends with the local moment (μB).
Sites, in units of the cell vectors:
P (0.9341, 0.9359, 0.8740)  -0.10
P (0.2732, 0.2746, 0.5518)  -0.05
Pr (0.1015, 0.1028, 0.2084)  0.03
P (0.5953, 0.5967, 0.1961)  -0.05
Pr (0.7671, 0.7684, 0.5396)  0.03
Np (0.4341, 0.4358, 0.8740)  3.61

3.
Material: PrNpP2
Method: DFT, PBE-GGA
State: optimized geometry

Results
- V (Å³/f.u.) = 95.7
- energy of formation from the pure elements (eV per atom) = -1.1797
- spin magnetization (Bohr magnetons per cell) = 3.7

abc: 4.0673 4.0673 7.0831
angles: 73.31 73.31 60.00
Each line ends with the local moment (μB).
Sites, in units of the cell vectors:
Np (0.0000, 0.0000, 0.0000)  3.53
P (0.7431, 0.7431, 0.7706)  -0.08
Pr (0.5000, 0.5000, 0.5000)  0.04
P (0.2569, 0.2569, 0.2294)  -0.08

4.
Material: PrPuNp2P4
Method: DFT, PBE-GGA
State: optimized geometry

Results
- V (Å³/f.u.) = 184.6
- energy of formation from the pure elements (eV per atom) = -1.0457
- spin magnetization (Bohr magnetons per cell) = 5.0

abc: 5.6946 5.6946 6.9736
angles: 114.10 114.10 90.00
Each line ends with the local moment (μB).
Sites, in units of the cell vectors:
Np (0.2500, 0.7500, 0.5000)  3.55
Pu (0.7500, 0.2500, 0.5000)  -4.99
P (0.2410, 0.2410, 0.4821)  0.03
P (0.0016, 0.5016, 0.0032)  0.05
Np (0.0000, 0.0000, 0.0000)  -3.49
P (0.4984, 0.9984, 0.9968)  0.05
P (0.7590, 0.7590, 0.5179)  0.03
Pr (0.5000, 0.5000, 0.0000)  0.00

5.
Material: Pr2PuNpP4
Method: DFT, PBE-GGA
State: optimized geometry

Results
- V (Å³/f.u.) = 192.9
- energy of formation from the pure elements (eV per atom) = -1.2550
- spin magnetization (Bohr magnetons per cell) = 8.6

abc: 4.0834 7.0842 7.0705
angles: 109.45 90.00 90.00
Each line ends with the local moment (μB).
Sites, in units of the cell vectors:
Pr (0.0000, 0.5000, 0.5000)  0.03
P (0.0000, 0.2588, 0.7700)  -0.09
Pu (0.0000, 0.0000, 0.0000)  4.95
P (0.0000, 0.7412, 0.2300)  -0.09
P (0.5000, 0.2459, 0.2301)  -0.10
Np (0.5000, 0.5000, 0.0000)  3.50
Pr (0.5000, 0.0000, 0.5000)  0.04
P (0.5000, 0.7541, 0.7699)  -0.10

6.
Material: Pr2NpP3Rh12
Method: DFT, PBE-GGA
State: optimized geometry

Results
- V (Å³/f.u.) = 336.7
- energy of formation from the pure elements (eV per atom) = -0.3096
- spin magnetization (Bohr magnetons per cell) = 0.8

abc: 7.4868 7.4868 7.4868
angles: 66.24 66.24 66.24
Each line ends with the local moment (μB).
Sites, in units of the cell vectors:
Rh (0.9090, 0.3361, 0.3361)  0.01
Pr (0.6003, 0.6003, 0.6003)  -0.01
Rh (0.6639, 0.6639, 0.0910)  0.01
Rh (0.3361, 0.3361, 0.9090)  0.01
Rh (0.8666, 0.8666, 0.3773)  0.09
P (0.0000, 0.5000, 0.0000)  0.00
Rh (0.1334, 0.6227, 0.1334)  0.09
Np (0.0000, 0.0000, 0.0000)  -1.35
Rh (0.6227, 0.1334, 0.1334)  0.09
P (0.5000, 0.0000, 0.0000)  0.00
P (0.0000, 0.0000, 0.5000)  0.00
Pr (0.3997, 0.3997, 0.3997)  -0.01
Rh (0.0910, 0.6639, 0.6639)  0.01
Rh (0.3773, 0.8666, 0.8666)  0.09
Rh (0.8666, 0.3773, 0.8666)  0.09
Rh (0.3361, 0.9090, 0.3361)  0.01
Rh (0.6639, 0.0910, 0.6639)  0.01
Rh (0.1334, 0.1334, 0.6227)  0.09

7.
Material: Pr2SmNpP4
Method: DFT, PBE-GGA
State: optimized geometry

Results
- V (Å³/f.u.) = 196.8
- energy of formation from the pure elements (eV per atom) = -1.3545
- spin magnetization (Bohr magnetons per cell) = 3.6

abc: 4.1069 7.1201 7.1312
angles: 109.29 90.00 90.00
Each line ends with the local moment (μB).
Sites, in units of the cell vectors:
Pr (0.5000, 0.0000, 0.5000)  0.04
Sm (0.0000, 0.0000, 0.0000)  0.02
P (0.0000, 0.2615, 0.7655)  -0.07
P (0.5000, 0.7459, 0.7619)  -0.04
P (0.0000, 0.7385, 0.2345)  -0.07
Np (0.5000, 0.5000, 0.0000)  3.50
P (0.5000, 0.2541, 0.2381)  -0.04
Pr (0.0000, 0.5000, 0.5000)  0.03

8.
Material: TbPr2NpP4
Method: DFT, PBE-GGA
State: optimized geometry

Results
- V (Å³/f.u.) = 193.9
- energy of formation from the pure elements (eV per atom) = -1.3648
- spin magnetization (Bohr magnetons per cell) = 3.6

abc: 4.0866 7.0785 7.1003
angles: 109.28 90.00 90.00
Each line ends with the local moment (μB).
Sites, in units of the cell vectors:
P (0.0000, 0.7402, 0.2328)  -0.07
P (0.0000, 0.2598, 0.7672)  -0.07
Pr (0.5000, 0.0000, 0.5000)  0.04
Tb (0.0000, 0.0000, 0.0000)  0.01
P (0.5000, 0.2505, 0.2349)  -0.04
P (0.5000, 0.7495, 0.7651)  -0.04
Pr (0.0000, 0.5000, 0.5000)  0.03
Np (0.5000, 0.5000, 0.0000)  3.48

9.
Material: Tb2PrNpP4
Method: DFT, PBE-GGA
State: optimized geometry

Results
- V (Å³/f.u.) = 188.2
- energy of formation from the pure elements (eV per atom) = -1.3812
- spin magnetization (Bohr magnetons per cell) = 3.6

abc: 4.0471 7.0277 7.0108
angles: 109.34 90.00 90.00
Each line ends with the local moment (μB).
Sites, in units of the cell vectors:
P (0.5000, 0.7589, 0.7516)  -0.07
Np (0.0000, 0.0000, 0.0000)  3.54
P (0.5000, 0.2411, 0.2484)  -0.07
Pr (0.5000, 0.5000, 0.0000)  0.03
Tb (0.0000, 0.5000, 0.5000)  0.03
Tb (0.5000, 0.0000, 0.5000)  0.01
P (0.0000, 0.2387, 0.7467)  -0.04
P (0.0000, 0.7613, 0.2533)  -0.04

10.
Material: Pr2ThNpP4
Method: DFT, PBE-GGA
State: optimized geometry

Results
- V (Å³/f.u.) = 199.5
- energy of formation from the pure elements (eV per atom) = -1.3657
- spin magnetization (Bohr magnetons per cell) = 3.9

abc: 4.1285 7.1414 7.1736
angles: 109.42 90.00 90.00
Each line ends with the local moment (μB).
Sites, in units of the cell vectors:
P (0.0000, 0.7520, 0.2398)  -0.03
Np (0.0000, 0.0000, 0.0000)  3.65
P (0.0000, 0.2480, 0.7602)  -0.03
Pr (0.0000, 0.5000, 0.5000)  0.04
Pr (0.5000, 0.0000, 0.5000)  0.03
P (0.5000, 0.2391, 0.2353)  -0.06
Th (0.5000, 0.5000, 0.0000)  0.03
P (0.5000, 0.7609, 0.7647)  -0.06

11.
Material: PrTm2NpP4
Method: DFT, PBE-GGA
State: optimized geometry

Results
- V (Å³/f.u.) = 182.7
- energy of formation from the pure elements (eV per atom) = -1.3715
- spin magnetization (Bohr magnetons per cell) = 3.7

abc: 4.0092 6.9644 6.9361
angles: 109.37 90.00 90.00
Each line ends with the local moment (μB).
Sites, in units of the cell vectors:
P (0.5000, 0.7567, 0.7459)  -0.07
P (0.0000, 0.2373, 0.7413)  -0.04
Tm (0.0000, 0.5000, 0.5000)  0.01
P (0.5000, 0.2433, 0.2541)  -0.07
Np (0.0000, 0.0000, 0.0000)  3.55
P (0.0000, 0.7627, 0.2587)  -0.04
Tm (0.5000, 0.0000, 0.5000)  0.01
Pr (0.5000, 0.5000, 0.0000)  0.03

12.
Material: PrNp2UP4
Method: DFT, PBE-GGA
State: optimized geometry

Results
- V (Å³/f.u.) = 183.3
- energy of formation from the pure elements (eV per atom) = -1.0220
- spin magnetization (Bohr magnetons per cell) = 9.8

abc: 5.6818 5.6819 6.9553
angles: 114.11 114.11 90.00
Each line ends with the local moment (μB).
Sites, in units of the cell vectors:
Pr (0.5000, 0.5000, 0.0000)  0.03
P (0.7574, 0.7574, 0.5148)  -0.10
P (0.2426, 0.2426, 0.4852)  -0.10
U (0.7500, 0.2500, 0.5000)  2.08
Np (0.0000, 0.0000, 0.0000)  3.57
P (0.9984, 0.4984, 0.9967)  -0.09
Np (0.2500, 0.7500, 0.5000)  3.65
P (0.5016, 0.0016, 0.0033)  -0.09